Density functional theory data (PBE-GGA) for an optimized crystal structure of ZrAg2Mo.

Geometry as POSCAR:
```
ZrAg2Mo
1.0
-4.450 0.887 2.789
-1.000 -3.475 3.910
4.185 2.914 -1.535
Ag Zr Mo
2 1 1
Cartesian
0.000 0.000 0.000
-2.725 -1.294 3.349
-1.495 1.254 2.301
0.230 -0.927 2.862
```

Its density of states at the Fermi level is 4.1 states/eV/cell. As for the space group: I4/mmm. For the theoretical density, the calculation gives 9.22 g/cm³. The formation enthalpy at 0 K is 0.259 eV per atom. The value obtained for the offset from the most stable computed form is 0.335 eV/f.u.